(1)
VASP calculation (PBE) on an optimized crystal structure of K5Ca.

Unit cell a=8.672 b=8.672 c=10.996 alpha=104.46 beta=104.46 gamma=29.20
Fractional positions:
K (0.000, 0.000, 0.000)
K (0.060, 0.060, 0.635)
K (0.396, 0.396, 0.305)
K (0.673, 0.673, 0.354)
K (0.736, 0.736, 0.953)
Ca (0.336, 0.336, 0.675)

* excess energy over the best structure of this formula in the dataset: 2 meV per atom
* formation energy: 0.563 eV/f.u.
* space-group type: Cm, No. 8
* spin magnetization: 0.00 μB/cell



(2)
VASP calculation (PBE) on an optimized crystal structure of KCa3.

Unit cell a=3.959 b=5.748 c=8.326 alpha=90.00 beta=90.00 gamma=90.00
Fractional positions:
K (0.000, 0.000, 0.000)
Ca (0.000, 0.000, 0.500)
Ca (0.500, 0.500, 0.274)
Ca (0.500, 0.500, 0.726)

* formation energy: 0.522 eV/f.u.
* space-group type: Pmmm, No. 47
* spin magnetization: 0.00 μB/cell



(3)
VASP calculation (PBE) on an optimized crystal structure of K3Ca2.

Unit cell a=19.518 b=7.637 c=20.770 alpha=69.95 beta=21.56 gamma=88.48
Fractional positions:
K (0.000, 0.000, 0.000)
K (0.250, 0.250, 0.250)
K (0.442, 0.678, 0.354)
K (0.678, 0.442, 0.526)
K (0.724, 0.896, 0.572)
K (0.896, 0.724, 0.808)
Ca (0.183, 0.576, 0.906)
Ca (0.344, 0.915, 0.067)
Ca (0.576, 0.183, 0.335)
Ca (0.915, 0.344, 0.674)

* formation energy: 0.837 eV/f.u.
* space-group type: Fdd2, No. 43
* spin magnetization: 0.00 μB/cell



(4)
VASP calculation (PBE) on an optimized crystal structure of K3Ca.

Unit cell a=4.341 b=4.341 c=14.973 alpha=90.00 beta=90.00 gamma=120.00
Fractional positions:
K (0.000, 0.000, 0.000)
K (0.667, 0.333, 0.266)
K (0.667, 0.333, 0.734)
Ca (0.000, 0.000, 0.500)

* formation energy: 0.424 eV/f.u.
* space-group type: P-6m2, No. 187
* spin magnetization: 0.00 μB/cell



(5)
VASP calculation (PBE) on an optimized crystal structure of KCa5.

Unit cell a=7.406 b=7.406 c=7.406 alpha=60.00 beta=60.00 gamma=60.00
Fractional positions:
K (0.000, 0.000, 0.000)
Ca (0.376, 0.376, 0.376)
Ca (0.376, 0.376, 0.873)
Ca (0.376, 0.873, 0.376)
Ca (0.750, 0.750, 0.750)
Ca (0.873, 0.376, 0.376)

* excess energy over the best structure of this formula in the dataset: 66 meV per atom
* formation energy: 0.911 eV/f.u.
* space-group type: F-43m, No. 216
* spin magnetization: 0.00 μB/cell



(6)
VASP calculation (PBE) on an optimized crystal structure of K3Ca.

Unit cell a=8.523 b=8.523 c=8.523 alpha=148.92 beta=128.89 gamma=61.04
Fractional positions:
K (0.000, 0.000, 0.000)
K (0.253, 0.753, 0.500)
K (0.747, 0.247, 0.500)
Ca (0.500, 0.500, 0.000)

* formation energy: 0.566 eV/f.u.
* space-group type: Immm, No. 71
* spin magnetization: 0.00 μB/cell



(7)
VASP calculation (PBE) on an optimized crystal structure of K5Ca.

Unit cell a=11.809 b=11.809 c=4.667 alpha=90.00 beta=90.00 gamma=143.30
Fractional positions:
K (0.000, 0.000, 0.000)
K (0.164, 0.836, 0.500)
K (0.339, 0.661, 0.000)
K (0.661, 0.339, 0.000)
K (0.836, 0.164, 0.500)
Ca (0.500, 0.500, 0.500)

* excess energy over the best structure of this formula in the dataset: 8 meV per atom
* formation energy: 0.597 eV/f.u.
* space-group type: Cmmm, No. 65
* spin magnetization: 0.00 μB/cell



(8)
VASP calculation (PBE) on an optimized crystal structure of K3Ca.

Unit cell a=4.249 b=4.249 c=13.707 alpha=90.00 beta=90.00 gamma=90.00
Fractional positions:
K (0.000, 0.000, 0.000)
K (0.500, 0.500, 0.270)
K (0.500, 0.500, 0.730)
Ca (0.000, 0.000, 0.500)

* formation energy: 0.452 eV/f.u.
* space-group type: P4/mmm, No. 123
* spin magnetization: 0.00 μB/cell



(9)
VASP calculation (PBE) on an optimized crystal structure of K3Ca.

Unit cell a=8.274 b=8.274 c=8.274 alpha=117.12 beta=117.12 gamma=117.12
Fractional positions:
K (0.000, 0.500, 0.500)
K (0.500, 0.000, 0.500)
K (0.500, 0.500, 0.000)
Ca (0.000, 0.000, 0.000)

* formation energy: 0.506 eV/f.u.
* space-group type: R-3m, No. 166
* spin magnetization: 0.00 μB/cell



(10)
VASP calculation (PBE) on an optimized crystal structure of KCa3.

Unit cell a=6.624 b=6.624 c=4.258 alpha=90.00 beta=90.00 gamma=90.00
Fractional positions:
K (0.000, 0.000, 0.000)
Ca (0.000, 0.500, 0.500)
Ca (0.500, 0.000, 0.500)
Ca (0.500, 0.500, 0.000)

* formation energy: 0.619 eV/f.u.
* space-group type: P4/mmm, No. 123
* spin magnetization: 0.00 μB/cell



(11)
VASP calculation (PBE) on an optimized crystal structure of K3Ca.

Unit cell a=7.975 b=7.975 c=7.975 alpha=90.00 beta=90.00 gamma=90.00
Fractional positions:
K (0.000, 0.250, 0.500)
K (0.000, 0.750, 0.500)
K (0.250, 0.500, 0.000)
K (0.500, 0.000, 0.250)
K (0.500, 0.000, 0.750)
K (0.750, 0.500, 0.000)
Ca (0.000, 0.000, 0.000)
Ca (0.500, 0.500, 0.500)

* formation energy: 0.679 eV/f.u.
* space-group type: Pm-3n, No. 223
* spin magnetization: 0.00 μB/cell



(12)
VASP calculation (PBE) on an optimized crystal structure of K2Ca.

Unit cell a=7.084 b=7.084 c=8.401 alpha=90.00 beta=90.00 gamma=120.00
Fractional positions:
K (0.000, 0.000, 0.000)
K (0.000, 0.000, 0.500)
K (0.333, 0.667, 0.250)
K (0.667, 0.333, 0.750)
Ca (0.333, 0.667, 0.750)
Ca (0.667, 0.333, 0.250)

* excess energy over the best structure of this formula in the dataset: 95 meV per atom
* formation energy: 0.670 eV/f.u.
* space-group type: P6_3/mmc, No. 194
* spin magnetization: 0.00 μB/cell



(13)
VASP calculation (PBE) on an optimized crystal structure of KCa3.

Unit cell a=13.798 b=13.798 c=13.798 alpha=16.63 beta=16.63 gamma=16.63
Fractional positions:
K (0.000, 0.000, 0.000)
Ca (0.243, 0.243, 0.243)
Ca (0.500, 0.500, 0.500)
Ca (0.757, 0.757, 0.757)

* formation energy: 0.369 eV/f.u.
* space-group type: R-3m, No. 166
* spin magnetization: 0.01 μB/cell



(14)
VASP calculation (PBE) on an optimized crystal structure of KCa3.

Unit cell a=3.882 b=3.882 c=13.388 alpha=90.00 beta=90.00 gamma=111.63
Fractional positions:
K (0.000, 0.000, 0.000)
Ca (0.000, 0.000, 0.500)
Ca (0.500, 0.500, 0.271)
Ca (0.500, 0.500, 0.729)

* formation energy: 0.372 eV/f.u.
* space-group type: Cmmm, No. 65
* spin magnetization: 0.00 μB/cell



(15)
VASP calculation (PBE) on an optimized crystal structure of KCa3.

Unit cell a=7.593 b=7.593 c=7.593 alpha=117.21 beta=117.21 gamma=117.21
Fractional positions:
K (0.000, 0.000, 0.000)
Ca (0.000, 0.500, 0.500)
Ca (0.500, 0.000, 0.500)
Ca (0.500, 0.500, 0.000)

* formation energy: 0.544 eV/f.u.
* space-group type: R-3m, No. 166
* spin magnetization: 0.00 μB/cell



(16)
VASP calculation (PBE) on an optimized crystal structure of KCa3.

Unit cell a=7.105 b=7.105 c=3.941 alpha=90.00 beta=90.00 gamma=110.52
Fractional positions:
K (0.000, 0.000, 0.000)
Ca (0.000, 0.500, 0.500)
Ca (0.500, 0.000, 0.500)
Ca (0.500, 0.500, 0.000)

* formation energy: 0.563 eV/f.u.
* space-group type: Cmmm, No. 65
* spin magnetization: 0.00 μB/cell



(17)
VASP calculation (PBE) on an optimized crystal structure of K3Ca.

Unit cell a=7.066 b=7.066 c=7.066 alpha=60.00 beta=60.00 gamma=60.00
Fractional positions:
K (0.000, 0.000, 0.000)
K (0.250, 0.250, 0.250)
K (0.750, 0.750, 0.750)
Ca (0.500, 0.500, 0.500)

* formation energy: 0.606 eV/f.u.
* space-group type: Fm-3m, No. 225
* spin magnetization: 0.00 μB/cell



(18)
VASP calculation (PBE) on an optimized crystal structure of K2Ca.

Unit cell a=4.241 b=4.241 c=11.175 alpha=90.00 beta=90.00 gamma=120.00
Fractional positions:
K (0.333, 0.667, 0.319)
K (0.667, 0.333, 0.681)
Ca (0.000, 0.000, 0.000)

* excess energy over the best structure of this formula in the dataset: 0 meV per atom
* formation energy: 0.386 eV/f.u.
* space-group type: P-3m1, No. 164
* spin magnetization: 0.00 μB/cell



(19)
VASP calculation (PBE) on an optimized crystal structure of KCa4.

Unit cell a=6.390 b=6.390 c=6.390 alpha=90.00 beta=90.00 gamma=90.00
Fractional positions:
K (0.000, 0.000, 0.000)
Ca (0.000, 0.000, 0.500)
Ca (0.000, 0.500, 0.000)
Ca (0.500, 0.000, 0.000)
Ca (0.500, 0.500, 0.500)

* excess energy over the best structure of this formula in the dataset: 52 meV per atom
* formation energy: 3.528 eV/f.u.
* space-group type: Pm-3m, No. 221
* spin magnetization: 0.00 μB/cell



(20)
VASP calculation (PBE) on an optimized crystal structure of KCa7.

Unit cell a=7.932 b=7.932 c=7.932 alpha=60.00 beta=60.00 gamma=60.00
Fractional positions:
K (0.000, 0.000, 0.000)
Ca (0.000, 0.000, 0.500)
Ca (0.000, 0.500, 0.000)
Ca (0.000, 0.500, 0.500)
Ca (0.500, 0.000, 0.000)
Ca (0.500, 0.000, 0.500)
Ca (0.500, 0.500, 0.000)
Ca (0.500, 0.500, 0.500)

* formation energy: 0.664 eV/f.u.
* space-group type: Fm-3m, No. 225
* spin magnetization: 0.00 μB/cell